Entry 1:
Compound: RbBa2SrGa
Source: Alexandria via LeMat-Bulk
Functional: GGA-PBE
Structure: relaxed

Cell and atoms, written as CIF:
```
data_RbBa2SrGa
_symmetry_space_group_name_H-M 'P 1'
_symmetry_Int_Tables_number 1
_symmetry_space_group_name_Hall 'P 1'
_cell_length_a 6.7146
_cell_length_b 6.7146
_cell_length_c 6.4918
_cell_angle_alpha 90.00
_cell_angle_beta 90.00
_cell_angle_gamma 90.00
loop_
_atom_site_label
_atom_site_fract_x
_atom_site_fract_y
_atom_site_fract_z
Rb1 0.0000 0.0000 0.0000
Ba1 0.0000 0.5000 0.5000
Ba2 0.5000 0.0000 0.5000
Sr1 0.5000 0.5000 0.0000
Ga1 0.5000 0.5000 0.5000
```

Offset from the most stable computed form (eV per atom): 0.000
Volume (Å³ per cell): 292.7
Space-group type: P4/mmm (123)
E (eV/atom): -1.956



Entry 2:
Compound: RbBaSr2Ga
Source: Alexandria via LeMat-Bulk
Functional: GGA-PBE
Structure: relaxed

Cell and atoms, written as CIF:
```
data_RbBaSr2Ga
_symmetry_space_group_name_H-M 'P 1'
_symmetry_Int_Tables_number 1
_symmetry_space_group_name_Hall 'P 1'
_cell_length_a 6.4892
_cell_length_b 6.4892
_cell_length_c 6.6190
_cell_angle_alpha 90.00
_cell_angle_beta 90.00
_cell_angle_gamma 90.00
loop_
_atom_site_label
_atom_site_fract_x
_atom_site_fract_y
_atom_site_fract_z
Rb1 0.0000 0.0000 0.0000
Ba1 0.5000 0.5000 0.0000
Sr1 0.0000 0.5000 0.5000
Sr2 0.5000 0.0000 0.5000
Ga1 0.5000 0.5000 0.5000
```

Volume (Å³ per cell): 278.7
Space-group type: P4/mmm (123)
E (eV/atom): -1.913



Entry 3:
Compound: RbBa2SrGa
Source: Alexandria via LeMat-Bulk
Functional: GGA-PBE
Structure: relaxed

Cell and atoms, written as CIF:
```
data_RbBa2SrGa
_symmetry_space_group_name_H-M 'P 1'
_symmetry_Int_Tables_number 1
_symmetry_space_group_name_Hall 'P 1'
_cell_length_a 6.7522
_cell_length_b 6.7522
_cell_length_c 6.6964
_cell_angle_alpha 90.00
_cell_angle_beta 90.00
_cell_angle_gamma 90.00
loop_
_atom_site_label
_atom_site_fract_x
_atom_site_fract_y
_atom_site_fract_z
Rb1 0.0000 0.0000 0.0000
Ba1 0.0000 0.5000 0.0000
Ba2 0.5000 0.0000 0.0000
Sr1 0.0000 0.0000 0.5000
Ga1 0.5000 0.5000 0.5000
```

Offset from the most stable computed form (eV per atom): 0.934
Volume (Å³ per cell): 305.3
Space-group type: P4/mmm (123)
E (eV/atom): -1.022



- E of number 2 (RbBaSr2Ga)?
  -1.913 eV/atom